Cd2TcNi: optimized geometry, PBE-GGA.

Results
Spin magnetization (μB/f.u.): 0.53
Calculated density (g cm⁻³): 9.551
Energy of formation (eV per formula unit): 1.8

```
data_Cd2TcNi
_chemical_formula_sum 'Cd2 Tc1 Ni1'
_symmetry_space_group_name_H-M 'P 4/m m m'
_symmetry_Int_Tables_number 123
_symmetry_space_group_name_Hall '-P 4 2'
_cell_length_a 4.781
_cell_length_b 4.781
_cell_length_c 2.902
_cell_angle_alpha 90.00
_cell_angle_beta 90.00
_cell_angle_gamma 90.00
loop_
_atom_site_label
_atom_site_type_symbol
_atom_site_fract_x
_atom_site_fract_y
_atom_site_fract_z
Cd1 Cd 0.000 0.500 0.000
Tc1 Tc 0.000 0.000 0.500
Ni1 Ni 0.500 0.500 0.500
```



CsHfTe2O8: optimized geometry, PBE-GGA.

Results
Spin magnetization (μB/f.u.): 0.00
Raw formation energy (meV per atom): -1580
Calculated density (g cm⁻³): 4.434

```
data_CsHfTe2O8
_chemical_formula_sum 'Cs1 Hf1 Te2 O8'
_symmetry_space_group_name_H-M 'P -3'
_symmetry_Int_Tables_number 147
_symmetry_space_group_name_Hall '-P 3'
_cell_length_a 5.7265
_cell_length_b 5.7265
_cell_length_c 9.1588
_cell_angle_alpha 90.00
_cell_angle_beta 90.00
_cell_angle_gamma 120.00
loop_
_atom_site_label
_atom_site_type_symbol
_atom_site_fract_x
_atom_site_fract_y
_atom_site_fract_z
Cs1 Cs 0.0000 0.0000 0.0000
Hf1 Hf 0.0000 0.0000 0.5000
Te1 Te 0.3333 0.6667 0.6984
O1 O 0.0624 0.3180 0.6346
O2 O 0.3333 0.6667 0.8981
```



Ho10TmSc2: optimized geometry, PBE-GGA.

Results
Spin magnetization (μB/f.u.): 0.01
Calculated density (g cm⁻³): 7.686
Energy of formation (eV per formula unit): 3.5

```
data_Ho10TmSc2
_chemical_formula_sum 'Ho40 Tm4 Sc8'
_symmetry_space_group_name_H-M 'F m m m'
_symmetry_Int_Tables_number 69
_symmetry_space_group_name_Hall '-F 2 2'
_cell_length_a 6.430
_cell_length_b 15.086
_cell_length_c 17.000
_cell_angle_alpha 90.00
_cell_angle_beta 90.00
_cell_angle_gamma 90.00
loop_
_atom_site_label
_atom_site_type_symbol
_atom_site_fract_x
_atom_site_fract_y
_atom_site_fract_z
Ho1 Ho 0.000 0.105 0.098
Ho2 Ho 0.000 0.180 0.340
Ho3 Ho 0.250 0.000 0.250
Tm1 Tm 0.000 0.000 0.500
Sc1 Sc 0.250 0.250 0.000
```



Pm2Ho3Mg2: optimized geometry, PBE-GGA.

Results
Spin magnetization (μB/f.u.): 0.00
Calculated density (g cm⁻³): 6.560
Energy of formation (eV per formula unit): 0.2

```
data_Pm2Ho3Mg2
_chemical_formula_sum 'Pm4 Ho6 Mg4'
_symmetry_space_group_name_H-M 'C m m m'
_symmetry_Int_Tables_number 65
_symmetry_space_group_name_Hall '-C 2 2'
_cell_length_a 3.518
_cell_length_b 34.389
_cell_length_c 3.488
_cell_angle_alpha 90.00
_cell_angle_beta 90.00
_cell_angle_gamma 90.00
loop_
_atom_site_label
_atom_site_type_symbol
_atom_site_fract_x
_atom_site_fract_y
_atom_site_fract_z
Pm1 Pm 0.000 0.205 0.000
Ho1 Ho 0.000 0.072 0.000
Ho2 Ho 0.000 0.500 0.500
Mg1 Mg 0.000 0.363 0.500
```



ThNi3Ge: optimized geometry, PBE-GGA.

Results
Spin magnetization (μB/f.u.): 0.00
Calculated density (g cm⁻³): 9.932
Energy of formation (eV per formula unit): -2.6

```
data_ThNi3Ge
_chemical_formula_sum 'Th2 Ni6 Ge2'
_symmetry_space_group_name_H-M 'I 4 m m'
_symmetry_Int_Tables_number 107
_symmetry_space_group_name_Hall 'I 4 -2'
_cell_length_a 3.970
_cell_length_b 3.970
_cell_length_c 10.200
_cell_angle_alpha 90.00
_cell_angle_beta 90.00
_cell_angle_gamma 90.00
loop_
_atom_site_label
_atom_site_type_symbol
_atom_site_fract_x
_atom_site_fract_y
_atom_site_fract_z
Th1 Th 0.000 0.000 0.000
Ni1 Ni 0.000 0.000 0.411
Ni2 Ni 0.000 0.500 0.269
Ge1 Ge 0.000 0.000 0.644
```



CaPmPb: optimized geometry, PBE-GGA.

Results
Spin magnetization (μB/f.u.): 0.00
Calculated density (g cm⁻³): 6.058
Energy of formation (eV per formula unit): -1.0

```
data_CaPmPb
_chemical_formula_sum 'Ca4 Pm4 Pb4'
_symmetry_space_group_name_H-M 'F -4 3 m'
_symmetry_Int_Tables_number 216
_symmetry_space_group_name_Hall 'F -4 2 3'
_cell_length_a 7.548
_cell_length_b 7.548
_cell_length_c 7.548
_cell_angle_alpha 90.00
_cell_angle_beta 90.00
_cell_angle_gamma 90.00
loop_
_atom_site_label
_atom_site_type_symbol
_atom_site_fract_x
_atom_site_fract_y
_atom_site_fract_z
Ca1 Ca 0.000 0.000 0.000
Pm1 Pm 0.000 0.000 0.500
Pb1 Pb 0.250 0.250 0.750
```



TaReRu2: optimized geometry, PBE-GGA.

Results
Spin magnetization (μB/f.u.): 0.00
Calculated density (g cm⁻³): 15.411
Energy of formation (eV per formula unit): 0.5

```
data_TaReRu2
_chemical_formula_sum 'Ta3 Re3 Ru6'
_symmetry_space_group_name_H-M 'R 3 m'
_symmetry_Int_Tables_number 160
_symmetry_space_group_name_Hall 'R 3 -2"'
_cell_length_a 2.7791
_cell_length_b 2.7791
_cell_length_c 27.5112
_cell_angle_alpha 90.00
_cell_angle_beta 90.00
_cell_angle_gamma 120.00
loop_
_atom_site_label
_atom_site_type_symbol
_atom_site_fract_x
_atom_site_fract_y
_atom_site_fract_z
Ta1 Ta 0.0000 0.0000 0.0000
Re1 Re 0.0000 0.0000 0.2428
Ru1 Ru 0.0000 0.0000 0.4989
Ru2 Ru 0.0000 0.0000 0.7509
```



Dy3ThPt2: optimized geometry, PBE-GGA.

Results
Spin magnetization (μB/f.u.): 0.00
Calculated density (g cm⁻³): 11.958
Energy of formation (eV per formula unit): -5.3

```
data_Dy3ThPt2
_chemical_formula_sum 'Dy6 Th2 Pt4'
_symmetry_space_group_name_H-M 'P m c 21'
_symmetry_Int_Tables_number 26
_symmetry_space_group_name_Hall 'P 2c -2'
_cell_length_a 4.802
_cell_length_b 9.008
_cell_length_c 7.125
_cell_angle_alpha 90.00
_cell_angle_beta 90.00
_cell_angle_gamma 90.00
loop_
_atom_site_label
_atom_site_type_symbol
_atom_site_fract_x
_atom_site_fract_y
_atom_site_fract_z
Dy1 Dy 0.000 0.081 0.000
Dy2 Dy 0.000 0.324 0.370
Dy3 Dy 0.500 0.158 0.655
Th1 Th 0.500 0.417 0.014
Pt1 Pt 0.000 0.342 0.772
Pt2 Pt 0.500 0.158 0.246
```



CaCdPt2: optimized geometry, PBE-GGA.

Results
Spin magnetization (μB/f.u.): 0.00
Calculated density (g cm⁻³): 11.782
Energy of formation (eV per formula unit): -1.8

```
data_CaCdPt2
_chemical_formula_sum 'Ca1 Cd1 Pt2'
_symmetry_space_group_name_H-M 'P m m 2'
_symmetry_Int_Tables_number 25
_symmetry_space_group_name_Hall 'P 2 -2'
_cell_length_a 3.000
_cell_length_b 4.447
_cell_length_c 5.733
_cell_angle_alpha 90.00
_cell_angle_beta 90.00
_cell_angle_gamma 90.00
loop_
_atom_site_label
_atom_site_type_symbol
_atom_site_fract_x
_atom_site_fract_y
_atom_site_fract_z
Ca1 Ca 0.000 0.000 0.000
Cd1 Cd 0.500 0.500 0.315
Pt1 Pt 0.000 0.000 0.504
Pt2 Pt 0.500 0.500 0.800
```



Sc12Hg3O5: optimized geometry, PBE-GGA.

Results
Spin magnetization (μB/f.u.): 0.03
Raw formation energy (meV per atom): -1531
Calculated density (g cm⁻³): 5.355

```
data_Sc12Hg3O5
_chemical_formula_sum 'Sc96 Hg24 O40'
_symmetry_space_group_name_H-M 'I a -3 d'
_symmetry_Int_Tables_number 230
_symmetry_space_group_name_Hall '-I 4bd 2c 3'
_cell_length_a 14.470
_cell_length_b 14.470
_cell_length_c 14.470
_cell_angle_alpha 90.00
_cell_angle_beta 90.00
_cell_angle_gamma 90.00
loop_
_atom_site_label
_atom_site_type_symbol
_atom_site_fract_x
_atom_site_fract_y
_atom_site_fract_z
Sc1 Sc 0.042 0.048 0.646
Hg1 Hg 0.000 0.250 0.125
O1 O 0.000 0.000 0.000
O2 O 0.000 0.250 0.375
```



PuZr4: optimized geometry, PBE-GGA.

Results
Spin magnetization (μB/f.u.): 5.54
Calculated density (g cm⁻³): 8.605
Energy of formation (eV per formula unit): 0.3

```
data_PuZr4
_chemical_formula_sum 'Pu4 Zr16'
_symmetry_space_group_name_H-M 'F m m m'
_symmetry_Int_Tables_number 69
_symmetry_space_group_name_Hall '-F 2 2'
_cell_length_a 4.532
_cell_length_b 4.542
_cell_length_c 22.832
_cell_angle_alpha 90.00
_cell_angle_beta 90.00
_cell_angle_gamma 90.00
loop_
_atom_site_label
_atom_site_type_symbol
_atom_site_fract_x
_atom_site_fract_y
_atom_site_fract_z
Pu1 Pu 0.000 0.000 0.000
Zr1 Zr 0.000 0.000 0.200
Zr2 Zr 0.000 0.000 0.398
```



LiCrPb2: optimized geometry, PBE-GGA.

Results
Spin magnetization (μB/f.u.): 4.19
Calculated density (g cm⁻³): 8.455
Energy of formation (eV per formula unit): 0.9

```
data_LiCrPb2
_chemical_formula_sum 'Li3 Cr3 Pb6'
_symmetry_space_group_name_H-M 'R -3 m'
_symmetry_Int_Tables_number 166
_symmetry_space_group_name_Hall '-R 3 2"'
_cell_length_a 3.3910
_cell_length_b 3.3910
_cell_length_c 28.0043
_cell_angle_alpha 90.00
_cell_angle_beta 90.00
_cell_angle_gamma 120.00
loop_
_atom_site_label
_atom_site_type_symbol
_atom_site_fract_x
_atom_site_fract_y
_atom_site_fract_z
Li1 Li 0.0000 0.0000 0.0000
Cr1 Cr 0.0000 0.0000 0.5000
Pb1 Pb 0.0000 0.0000 0.2494
```



What did the eleventh record say?
PuZr4: optimized geometry, PBE-GGA.

Results
Spin magnetization (μB/f.u.): 5.54
Calculated density (g cm⁻³): 8.605
Energy of formation (eV per formula unit): 0.3

```
data_PuZr4
_chemical_formula_sum 'Pu4 Zr16'
_symmetry_space_group_name_H-M 'F m m m'
_symmetry_Int_Tables_number 69
_symmetry_space_group_name_Hall '-F 2 2'
_cell_length_a 4.532
_cell_length_b 4.542
_cell_length_c 22.832
_cell_angle_alpha 90.00
_cell_angle_beta 90.00
_cell_angle_gamma 90.00
loop_
_atom_site_label
_atom_site_type_symbol
_atom_site_fract_x
_atom_site_fract_y
_atom_site_fract_z
Pu1 Pu 0.000 0.000 0.000
Zr1 Zr 0.000 0.000 0.200
Zr2 Zr 0.000 0.000 0.398
```



Which of these has the highest spin magnetization?
PuZr4